# GGA-PBE NaCaEuCu, relaxed
data_NaCaEuCu
_chemical_formula_sum 'Na4 Ca4 Eu4 Cu4'
_symmetry_space_group_name_H-M 'F -4 3 m'
_symmetry_Int_Tables_number 216
_symmetry_space_group_name_Hall 'F -4 2 3'
_cell_length_a 7.765
_cell_length_b 7.765
_cell_length_c 7.765
_cell_angle_alpha 90.00
_cell_angle_beta 90.00
_cell_angle_gamma 90.00
loop_
_atom_site_label
_atom_site_type_symbol
_atom_site_fract_x
_atom_site_fract_y
_atom_site_fract_z
Na1 Na 0.000 0.000 0.000
Ca1 Ca 0.250 0.250 0.250
Eu1 Eu 0.250 0.250 0.750
Cu1 Cu 0.000 0.000 0.500
# VASP energy = -4.32 eV per atom

---

# GGA-PBE CaEuCuNi, relaxed
data_CaEuCuNi
_chemical_formula_sum 'Ca4 Eu4 Cu4 Ni4'
_symmetry_space_group_name_H-M 'F -4 3 m'
_symmetry_Int_Tables_number 216
_symmetry_space_group_name_Hall 'F -4 2 3'
_cell_length_a 7.049
_cell_length_b 7.049
_cell_length_c 7.049
_cell_angle_alpha 90.00
_cell_angle_beta 90.00
_cell_angle_gamma 90.00
loop_
_atom_site_label
_atom_site_type_symbol
_atom_site_fract_x
_atom_site_fract_y
_atom_site_fract_z
Ca1 Ca 0.000 0.000 0.000
Eu1 Eu 0.000 0.000 0.500
Cu1 Cu 0.250 0.250 0.750
Ni1 Ni 0.250 0.250 0.250
# VASP energy = -5.57 eV per atom

---

| no. | V (Å³/cell) | formation enthalpy at 0 K (eV per atom) |
| --- | --- | --- |
| 1 | 468.1 | 0.107 |
| 2 | 350.2 | -0.035 |